[1]
! Cd2AgHg PBE-GGA optimized geometry; values from VASP
! E_form: 0.005 eV per atom
! density of states at the Fermi level: 0.6 states/eV per cell
! total moment: 0.0 μB per cell
! crystal system: orthorhombic
&SYSTEM
  ibrav = 0, nat = 4, ntyp = 3
/
ATOMIC_SPECIES
Cd 112.41 Cd.upf
Ag 107.87 Ag.upf
Hg 200.59 Hg.upf
CELL_PARAMETERS angstrom
3.3779 0.0000 0.0000
0.0000 3.7855 0.0000
0.0000 0.0000 6.6236
ATOMIC_POSITIONS angstrom
Cd 0.0000 0.0000 1.5474
Cd 0.0000 0.0000 5.0763
Ag 1.6889 1.8928 0.0000
Hg 1.6889 1.8928 3.3118

***

[2]
! InSiPbF2 PBE-GGA optimized geometry; values from VASP
! density of states at the Fermi level: 1.4 states/eV per cell
! total moment: 0.0 μB per cell
! formation energy from raw total energies: -0.96 eV/atom
! crystal system: tetragonal
&SYSTEM
  ibrav = 0, nat = 5, ntyp = 4
/
ATOMIC_SPECIES
In 114.82 In.upf
Si 28.09 Si.upf
Pb 207.20 Pb.upf
F 19.00 F.upf
CELL_PARAMETERS angstrom
4.2552 0.0000 0.0000
0.0000 4.2552 0.0000
0.0000 0.0000 5.7189
ATOMIC_POSITIONS angstrom
In 0.0000 0.0000 0.0000
Si 2.1276 2.1276 2.8594
Pb 2.1276 2.1276 0.0000
F 0.0000 2.1276 2.8594
F 2.1276 0.0000 2.8594

***

[3]
! Li2CeGa6 PBE-GGA optimized geometry; values from VASP
! E_form: -0.301 eV per atom
! offset from the most stable computed form: 13 meV per atom
! density of states at the Fermi level: 7.0 states/eV per cell
! total moment: 0.6 μB per cell
! crystal system: hexagonal
&SYSTEM
  ibrav = 0, nat = 9, ntyp = 3
/
ATOMIC_SPECIES
Li 6.94 Li.upf
Ce 140.12 Ce.upf
Ga 69.72 Ga.upf
CELL_PARAMETERS angstrom
7.9932 0.0000 0.0000
-3.9966 6.9223 0.0000
0.0000 0.0000 3.0456
ATOMIC_POSITIONS angstrom
Li 0.0000 4.6149 0.0000
Li 3.9966 2.3074 0.0000
Ce 0.0000 0.0000 0.0000
Ga -1.3686 2.3705 1.5228
Ga -2.6280 4.5518 1.5228
Ga 2.7372 0.0000 1.5228
Ga 1.3686 2.3705 1.5228
Ga 5.2560 0.0000 1.5228
Ga 2.6280 4.5518 1.5228

***

[4]
! HoTmCd3 PBE-GGA optimized geometry; values from VASP
! E_form: 0.305 eV per atom
! offset from the most stable computed form: 585 meV per atom
! density of states at the Fermi level: 10.3 states/eV per cell
! total moment: 0.0 μB per cell
! crystal system: tetragonal
&SYSTEM
  ibrav = 0, nat = 10, ntyp = 3
/
ATOMIC_SPECIES
Ho 164.93 Ho.upf
Tm 168.93 Tm.upf
Cd 112.41 Cd.upf
CELL_PARAMETERS angstrom
-2.8460 2.8460 10.8340
2.8460 -2.8460 10.8340
2.8460 2.8460 -10.8340
ATOMIC_POSITIONS angstrom
Ho 0.0000 0.0000 0.0000
Ho 0.0000 2.8460 5.4170
Tm 0.0000 0.0000 9.0520
Tm 0.0000 0.0000 12.6159
Cd 2.8460 0.0000 0.6518
Cd 0.0000 1.4056 2.7347
Cd 2.8460 0.0000 10.1821
Cd -1.4403 2.8460 8.0992
Cd 1.4403 2.8460 8.0992
Cd 0.0000 4.2863 2.7347

***

[5]
! NaTaMnS4 PBE-GGA optimized geometry; values from VASP
! density of states at the Fermi level: 4.3 states/eV per cell
! total moment: 9.6 μB per cell
! formation energy from raw total energies: -0.83 eV/atom
! crystal system: orthorhombic
&SYSTEM
  ibrav = 0, nat = 14, ntyp = 4
/
ATOMIC_SPECIES
Na 22.99 Na.upf
Ta 180.95 Ta.upf
Mn 54.94 Mn.upf
S 32.06 S.upf
CELL_PARAMETERS angstrom
-3.5746 3.7188 5.7842
3.5746 -3.7188 5.7842
3.5746 3.7188 -5.7842
ATOMIC_POSITIONS angstrom
Na 0.0000 1.8594 1.2864
Na 3.5746 1.8594 4.4978
Ta 1.7873 1.8594 -2.8921
Ta 1.7873 -1.8594 2.8921
Mn 3.5746 0.0000 0.0000
Mn 0.0000 0.0000 5.7842
S 1.9864 1.8594 -0.4084
S 5.1628 1.8594 -0.4084
S 3.5746 -0.1554 2.8087
S 3.5746 3.5634 -2.8087
S 0.0000 0.1554 8.5929
S 0.0000 3.8743 2.9756
S -1.5882 1.8594 6.1926
S 1.5882 1.8594 6.1926

***

[6]
! TaTi2Ni2 PBE-GGA optimized geometry; values from VASP
! E_form: -0.131 eV per atom
! offset from the most stable computed form: 110 meV per atom
! density of states at the Fermi level: 8.2 states/eV per cell
! total moment: 0.0 μB per cell
! crystal system: tetragonal
&SYSTEM
  ibrav = 0, nat = 10, ntyp = 3
/
ATOMIC_SPECIES
Ta 180.95 Ta.upf
Ti 47.87 Ti.upf
Ni 58.69 Ni.upf
CELL_PARAMETERS angstrom
7.1685 0.0000 0.0000
0.0000 7.1685 0.0000
0.0000 0.0000 2.8402
ATOMIC_POSITIONS angstrom
Ta 0.0000 0.0000 0.0000
Ta 3.5842 3.5842 0.0000
Ti 1.1263 2.4579 0.0000
Ti 2.4579 6.0422 0.0000
Ti 4.7106 1.1263 0.0000
Ti 6.0422 4.7106 0.0000
Ni 0.9952 4.5795 1.4201
Ni 2.5890 0.9952 1.4201
Ni 4.5795 6.1733 1.4201
Ni 6.1733 2.5890 1.4201

***

[7]
! TmTcMoRu PBE-GGA optimized geometry; values from VASP
! E_form: -0.086 eV per atom
! density of states at the Fermi level: 1.6 states/eV per cell
! total moment: 0.0 μB per cell
! crystal system: cubic
&SYSTEM
  ibrav = 0, nat = 4, ntyp = 4
/
ATOMIC_SPECIES
Tm 168.93 Tm.upf
Tc 98.00 Tc.upf
Mo 95.94 Mo.upf
Ru 101.07 Ru.upf
CELL_PARAMETERS angstrom
0.0000 3.2187 3.2187
3.2187 0.0000 3.2187
3.2187 3.2187 0.0000
ATOMIC_POSITIONS angstrom
Tm 0.0000 0.0000 0.0000
Tc 1.6094 1.6094 1.6094
Mo 3.2187 3.2187 3.2187
Ru 4.8281 4.8281 4.8281

***

[8]
! FeHgPt3 PBE-GGA optimized geometry; values from VASP
! E_form: 1.712 eV per atom
! offset from the most stable computed form: 928 meV per atom
! density of states at the Fermi level: 8.9 states/eV per cell
! total moment: 3.9 μB per cell
! crystal system: cubic
&SYSTEM
  ibrav = 0, nat = 5, ntyp = 3
/
ATOMIC_SPECIES
Fe 55.84 Fe.upf
Hg 200.59 Hg.upf
Pt 195.08 Pt.upf
CELL_PARAMETERS angstrom
4.9889 0.0000 0.0000
0.0000 4.9889 0.0000
0.0000 0.0000 4.9889
ATOMIC_POSITIONS angstrom
Fe 0.0000 0.0000 0.0000
Hg 2.4945 2.4945 2.4945
Pt 0.0000 2.4945 2.4945
Pt 2.4945 0.0000 2.4945
Pt 2.4945 2.4945 0.0000

***

[9]
! RbNa2CuCl4 PBE-GGA optimized geometry; values from VASP
! density of states at the Fermi level: 0.0 states/eV per cell
! total moment: 0.2 μB per cell
! formation energy from raw total energies: -1.48 eV/atom
! crystal system: orthorhombic
&SYSTEM
  ibrav = 0, nat = 16, ntyp = 4
/
ATOMIC_SPECIES
Rb 85.47 Rb.upf
Na 22.99 Na.upf
Cu 63.55 Cu.upf
Cl 35.45 Cl.upf
CELL_PARAMETERS angstrom
2.0344 -7.0145 0.0000
2.0344 7.0145 0.0000
0.0000 0.0000 14.2195
ATOMIC_POSITIONS angstrom
Rb 2.0344 5.4753 10.6646
Rb 2.0344 -5.4753 3.5549
Na 2.0344 1.8078 7.8209
Na 2.0344 1.8078 13.5083
Na 2.0344 -1.8078 0.7112
Na 2.0344 -1.8078 6.3986
Cu 2.0344 4.7178 3.5549
Cu 2.0344 -4.7178 10.6646
Cl 0.0000 0.0000 0.0000
Cl 0.0000 0.0000 7.1097
Cl 2.0344 3.3797 1.6438
Cl 2.0344 3.3797 5.4660
Cl 2.0344 1.0807 10.6646
Cl 2.0344 -1.0807 3.5549
Cl 2.0344 -3.3797 8.7535
Cl 2.0344 -3.3797 12.5757

***

[10]
! Zr2Ge2Os PBE-GGA optimized geometry; values from VASP
! E_form: -0.658 eV per atom
! density of states at the Fermi level: 4.2 states/eV per cell
! total moment: 0.0 μB per cell
! crystal system: tetragonal
&SYSTEM
  ibrav = 0, nat = 10, ntyp = 3
/
ATOMIC_SPECIES
Zr 91.22 Zr.upf
Ge 72.64 Ge.upf
Os 190.23 Os.upf
CELL_PARAMETERS angstrom
6.4976 0.0000 0.0000
0.0000 6.4976 0.0000
0.0000 0.0000 4.2050
ATOMIC_POSITIONS angstrom
Zr 1.1250 2.1238 0.0000
Zr 2.1238 5.3725 0.0000
Zr 4.3738 1.1250 0.0000
Zr 5.3725 4.3738 0.0000
Ge 0.8948 4.1436 2.1025
Ge 2.3540 0.8948 2.1025
Ge 4.1436 5.6028 2.1025
Ge 5.6028 2.3540 2.1025
Os 0.0000 0.0000 2.1025
Os 3.2488 3.2488 2.1025

***

[11]
! SrLi2Ga2Ge2 PBE-GGA optimized geometry; values from VASP
! E_form: -0.440 eV per atom
! density of states at the Fermi level: 0.8 states/eV per cell
! total moment: 0.0 μB per cell
! crystal system: trigonal
&SYSTEM
  ibrav = 0, nat = 7, ntyp = 4
/
ATOMIC_SPECIES
Sr 87.62 Sr.upf
Li 6.94 Li.upf
Ga 69.72 Ga.upf
Ge 72.64 Ge.upf
CELL_PARAMETERS angstrom
2.1667 1.2509 8.5505
-2.1667 1.2509 8.5505
0.0000 -2.5018 8.5505
ATOMIC_POSITIONS angstrom
Sr 0.0000 0.0000 0.0000
Li 0.0000 0.0000 3.7470
Li 0.0000 0.0000 21.9044
Ga 0.0000 0.0000 11.4749
Ga 0.0000 0.0000 14.1765
Ge 0.0000 0.0000 6.5065
Ge 0.0000 0.0000 19.1449

***

[12]
! BSNF2 PBE-GGA optimized geometry; values from VASP
! offset from the most stable computed form: 0 meV per atom
! density of states at the Fermi level: 1.6 states/eV per cell
! total moment: 0.0 μB per cell
! formation energy from raw total energies: 0.14 eV/atom
! crystal system: tetragonal
&SYSTEM
  ibrav = 0, nat = 5, ntyp = 4
/
ATOMIC_SPECIES
B 10.81 B.upf
S 32.06 S.upf
N 14.01 N.upf
F 19.00 F.upf
CELL_PARAMETERS angstrom
3.0926 0.0000 0.0000
0.0000 3.0926 0.0000
0.0000 0.0000 4.7309
ATOMIC_POSITIONS angstrom
B 0.0000 0.0000 0.0000
S 1.5463 1.5463 2.3655
N 0.0000 0.0000 2.3655
F 0.0000 1.5463 0.0000
F 1.5463 0.0000 0.0000